(1)
SnHgAs | PBE-GGA | optimized geometry

Unit cell a=4.9001 b=4.9001 c=4.9001 alpha=60.00 beta=60.00 gamma=60.00
Atoms (fractional coordinates):
Sn  0.7500  0.7500  0.7500
Hg  0.2500  0.2500  0.2500
As  0.0000  0.0000  0.0000

**Excess energy over the best structure of this formula in the dataset**: 0.000 eV per formula unit
**Space-group type**: F-43m (216)

---

(2)
RbSiAuSeS2 | PBE-GGA | optimized geometry

Unit cell a=8.6591 b=8.6591 c=9.9794 alpha=90.00 beta=90.00 gamma=156.72
Atoms (fractional coordinates):
Au  0.3899  0.6101  0.7500
Au  0.6101  0.3899  0.2500
S  0.5972  0.4028  0.4810
S  0.4028  0.5972  0.9810
S  0.4028  0.5972  0.5190
S  0.5972  0.4028  0.0190
Si  0.0000  0.0000  0.5000
Si  0.0000  0.0000  0.0000
Se  0.0425  0.9575  0.7500
Se  0.9575  0.0425  0.2500
Rb  0.7148  0.2852  0.7500
Rb  0.2852  0.7148  0.2500

**Space-group type**: Cmcm (63)

---

(3)
LaNdSe2 | PBE-GGA | optimized geometry

Unit cell a=4.2704 b=4.2704 c=6.0354 alpha=90.00 beta=90.00 gamma=90.00
Atoms (fractional coordinates):
Se  0.5000  0.5000  0.0000
Se  0.0000  0.0000  0.5000
La  0.0000  0.0000  0.0000
Nd  0.5000  0.5000  0.5000

**Magnetization**: 0.004 μB per cell
**Space-group type**: P4/mmm (123)

---

(4)
BaNdSi3Au | PBE-GGA | optimized geometry

Unit cell a=8.7055 b=8.5002 c=6.2315 alpha=70.54 beta=67.02 gamma=42.45
Atoms (fractional coordinates):
Ba  0.7500  0.7500  0.7500
Ba  0.2500  0.2500  0.2500
Au  0.3380  0.3380  0.6620
Au  0.6620  0.6620  0.3380
Si  0.8335  0.3240  0.1665
Si  0.1665  0.6760  0.8335
Si  0.1586  0.1586  0.8414
Si  0.3240  0.8335  0.6760
Si  0.6760  0.1665  0.3240
Si  0.8414  0.8414  0.1586
Nd  0.2375  0.7625  0.2375
Nd  0.7625  0.2375  0.7625

**Excess energy over the best structure of this formula in the dataset**: 0.000 eV per formula unit
**Magnetization**: 0.002 μB per cell
**Space-group type**: Fmmm (69)

---

(5)
ScFeReSb | PBE-GGA | optimized geometry

Unit cell a=4.4956 b=4.4956 c=4.4956 alpha=60.00 beta=60.00 gamma=60.00
Atoms (fractional coordinates):
Re  0.2500  0.2500  0.2500
Sb  0.0000  0.0000  0.0000
Sc  0.5000  0.5000  0.5000
Fe  0.7500  0.7500  0.7500

**Excess energy over the best structure of this formula in the dataset**: 0.000 eV per formula unit
**Magnetization**: 0.826 μB per cell
**Space-group type**: F-43m (216)

---

(6)
MgTaNiB | PBE-GGA | optimized geometry

Unit cell a=4.1752 b=4.1752 c=4.1752 alpha=60.00 beta=60.00 gamma=60.00
Atoms (fractional coordinates):
Mg  0.2500  0.2500  0.2500
B  0.0000  0.0000  0.0000
Ta  0.7500  0.7500  0.7500
Ni  0.5000  0.5000  0.5000

**Excess energy over the best structure of this formula in the dataset**: 0.000 eV per formula unit
**Magnetization**: 0.003 μB per cell
**Space-group type**: F-43m (216)

---

(7)
NdInNO | PBE-GGA | optimized geometry

Unit cell a=5.0858 b=5.0858 c=4.8679 alpha=90.00 beta=90.00 gamma=90.00
Atoms (fractional coordinates):
Nd  0.7500  0.2500  0.5000
Nd  0.2500  0.7500  0.5000
In  0.2500  0.2500  0.9961
In  0.7500  0.7500  0.0039
N  0.7500  0.7500  0.4806
N  0.2500  0.2500  0.5194
O  0.2500  0.7500  0.0000
O  0.7500  0.2500  0.0000

**Excess energy over the best structure of this formula in the dataset**: 0.000 eV per formula unit
**Magnetization**: 0.001 μB per cell
**Space-group type**: P4/nmm (129)

---

(8)
BeFeAs2 | PBE-GGA | optimized geometry

Unit cell a=4.3378 b=4.3378 c=4.3378 alpha=60.00 beta=60.00 gamma=60.00
Atoms (fractional coordinates):
As  0.0000  0.0000  0.0000
As  0.7500  0.7500  0.7500
Fe  0.2500  0.2500  0.2500
Be  0.5000  0.5000  0.5000

**Magnetization**: 1.949 μB per cell
**Space-group type**: F-43m (216)

---

(9)
KPmSeO | PBE-GGA | optimized geometry

Unit cell a=4.2075 b=4.2075 c=10.2245 alpha=90.00 beta=90.00 gamma=90.00
Atoms (fractional coordinates):
Se  0.2500  0.2500  0.7252
Se  0.7500  0.7500  0.2748
Pm  0.2500  0.2500  0.1032
Pm  0.7500  0.7500  0.8968
K  0.2500  0.7500  0.5000
K  0.7500  0.2500  0.5000
O  0.7500  0.2500  0.0000
O  0.2500  0.7500  0.0000

**Excess energy over the best structure of this formula in the dataset**: 0.683 eV per formula unit
**Magnetization**: 0.003 μB per cell
**Space-group type**: P4/nmm (129)

---

(10)
CsDy2 | PBE-GGA | optimized geometry

Unit cell a=7.2823 b=7.2823 c=7.2823 alpha=60.00 beta=60.00 gamma=60.00
Last column: magnetic moment on the atom in μB.
Atoms (fractional coordinates):
Dy  0.6250  0.1250  0.6250  0.18
Dy  0.6250  0.6250  0.6250  0.16
Dy  0.6250  0.6250  0.1250  0.16
Dy  0.1250  0.6250  0.6250  0.18
Cs  0.2500  0.2500  0.2500  0.02
Cs  0.0000  0.0000  0.0000  0.02

**Magnetization**: 1.159 μB per cell
**Space-group type**: Fd-3m (227)

---

(11)
KH7Pt2 | PBE-GGA | optimized geometry

Unit cell a=5.6873 b=5.6873 c=3.5902 alpha=90.00 beta=90.00 gamma=125.18
Atoms (fractional coordinates):
Pt  0.3189  0.6811  0.5000
Pt  0.6811  0.3189  0.5000
H  0.3354  0.0233  0.5000
H  0.3310  0.6690  0.0000
H  0.9767  0.6646  0.5000
H  0.6646  0.9767  0.5000
H  0.0233  0.3354  0.5000
H  0.5000  0.5000  0.5000
H  0.6690  0.3310  0.0000
K  0.0000  0.0000  0.0000

**Magnetization**: 0.000 μB per cell
**Space-group type**: Cmmm (65)

---

(12)
Co9Ni4 | PBE-GGA | optimized geometry

Unit cell a=8.4790 b=8.4790 c=8.4790 alpha=31.25 beta=31.25 gamma=31.25
Last column: magnetic moment on the atom in μB.
Atoms (fractional coordinates):
Ni  0.4530  0.4530  0.4530  0.69
Ni  0.1650  0.1650  0.1650  0.57
Ni  0.5470  0.5470  0.5470  0.69
Ni  0.8350  0.8350  0.8350  0.57
Co  0.0000  0.0000  0.0000  1.65
Co  0.9096  0.4163  0.9096  1.91
Co  0.0904  0.5837  0.0904  1.91
Co  0.3487  0.3487  0.3487  1.76
Co  0.9096  0.9096  0.4163  1.64
Co  0.5837  0.0904  0.0904  1.53
Co  0.6513  0.6513  0.6513  1.76
Co  0.4163  0.9096  0.9096  1.53
Co  0.0904  0.0904  0.5837  1.64

**Energy of formation from the pure elements**: 0.136 eV per atom
**Excess energy over the best structure of this formula in the dataset**: 0.237 eV per formula unit
**Magnetization**: 17.653 μB per cell
**Space-group type**: R-3m (166)

---

These records have calculated total energy values of -2.846; -3.956; -6.084; -5.004; -7.740; -6.229; -6.396; -4.712; -5.627; -2.635; -3.814; -6.497 eV/atom, in the order they appear.